Record 1
Here is a relaxed structure of Er3Tm4Bi4 from Alexandria via LeMat-Bulk. Energies are from PBE-GGA.

Calculated values
* density of states at the Fermi level: 10.5 states/eV/cell
* magnetic moment: 0.1052 μB per atom
* ΔE_f: -440 meV/atom
* space-group type: No. 38
* energy: -4.72 eV per atom

```
Er3Tm4Bi4
1.0
9.8405 0.0000 0.0000
0.0000 2.1572 7.7790
0.0000 -2.1572 7.7790
Er Tm Bi
3 4 4
direct
0.0000 0.0000 0.0000 Er
0.2677 0.1453 0.1453 Er
0.7323 0.1453 0.1453 Er
0.0000 0.3243 0.3243 Tm
0.2471 0.8302 0.8302 Tm
0.5000 0.3460 0.3460 Tm
0.7529 0.8302 0.8302 Tm
0.0000 0.6696 0.6696 Bi
0.2488 0.4826 0.4826 Bi
0.5000 0.6891 0.6891 Bi
0.7512 0.4826 0.4826 Bi
```

=====

Record 2
Here is a relaxed structure of Er5TmBi4 from Alexandria via LeMat-Bulk. Energies are from PBE-GGA.

Calculated values
* density of states at the Fermi level: 7.6 states/eV/cell
* magnetic moment: 0.1798 μB per atom
* ΔE_f: -521 meV/atom
* space-group type: No. 12
* energy: -4.80 eV per atom

```
Er5TmBi4
1.0
9.8589 -2.1791 0.0000
9.8589 2.1791 0.0000
-1.4848 0.0000 7.4814
Er Tm Bi
5 1 4
direct
0.0000 0.0000 0.0000 Er
0.3036 0.3036 0.8870 Er
0.3113 0.3113 0.4136 Er
0.6887 0.6887 0.5864 Er
0.6964 0.6964 0.1130 Er
0.0000 0.0000 0.5000 Tm
0.1338 0.1338 0.8244 Bi
0.4382 0.4382 0.7193 Bi
0.5618 0.5618 0.2807 Bi
0.8662 0.8662 0.1756 Bi
```